The following is a DFT calculation (GGA-PBE) of an optimized crystal structure of KAsBr3.

a b c (Å): 5.468 5.468 5.468
angles (deg): 90.00 90.00 90.00
Space group Pm-3m (No. 221)
Symmetry-distinct sites (fractional):
K: 0.000 0.000 0.000 x1
As: 0.500 0.500 0.500 x1
Br: 0.000 0.500 0.500 x3

Total magnetic moment: 0.0 μB/f.u.
Crystal system: cubic
Total energy: -2.9623 eV/atom
Uncorrected formation energy: -0.81 eV/atom
Polymorph energy (0 for the lowest one): 0.43 eV/f.u.
DOS at the Fermi energy: 0.098 states/eV/atom



The following is a DFT calculation (GGA-PBE) of an optimized crystal structure of HoGaSiRh2.

a b c (Å): 4.154 13.621 6.582
angles (deg): 90.00 90.00 90.00
Space group Cmcm (No. 63)
Symmetry-distinct sites (fractional):
Ho: 0.000 0.130 0.250 x4
Ga: 0.000 0.500 0.000 x4
Si: 0.000 0.199 0.750 x4
Rh: 0.000 0.321 0.037 x8

Total magnetic moment: 0.0 μB/f.u.
Crystal system: orthorhombic
Total energy: -6.2376 eV/atom
Uncorrected formation energy: -0.69 eV/atom
DOS at the Fermi energy: 0.610 states/eV/atom



The following is a DFT calculation (GGA-PBE) of an optimized crystal structure of RhWSCl2.

a b c (Å): 4.913 4.913 4.414
angles (deg): 90.00 90.00 90.00
Space group P4/mmm (No. 123)
Symmetry-distinct sites (fractional):
Rh: 0.000 0.000 0.000 x1
W: 0.500 0.500 0.000 x1
S: 0.000 0.000 0.500 x1
Cl: 0.000 0.500 0.500 x2

Total magnetic moment: 4.0 μB/f.u.
Crystal system: tetragonal
Total energy: -4.1506 eV/atom
Uncorrected formation energy: 1.47 eV/atom
Polymorph energy (0 for the lowest one): 4.00 eV/f.u.
DOS at the Fermi energy: 0.942 states/eV/atom



The following is a DFT calculation (GGA-PBE) of an optimized crystal structure of In2TeI.

a b c (Å): 4.4908 4.4908 24.7439
angles (deg): 90.00 90.00 120.00
Space group R3m (No. 160, hexagonal axes)
Symmetry-distinct sites (fractional):
In: 0.0000 0.0000 0.0000 x3
In: 0.0000 0.0000 0.1862 x3
Te: 0.0000 0.0000 0.5887 x3
I: 0.0000 0.0000 0.7646 x3

Total magnetic moment: 0.0 μB/f.u.
Crystal system: trigonal
Total energy: -2.8239 eV/atom
Uncorrected formation energy: -0.28 eV/atom
Polymorph energy (0 for the lowest one): 0.12 eV/f.u.
DOS at the Fermi energy: 0.705 states/eV/atom



The following is a DFT calculation (GGA-PBE) of an optimized crystal structure of MnHgBi3.

a b c (Å): 5.180 5.180 5.180
angles (deg): 90.00 90.00 90.00
Space group Pm-3m (No. 221)
Symmetry-distinct sites (fractional):
Mn: 0.000 0.000 0.000 x1
Hg: 0.500 0.500 0.500 x1
Bi: 0.000 0.000 0.500 x3

Total magnetic moment: 0.0 μB/f.u.
Crystal system: cubic
E_form: 42 kJ/mol of atoms
Total energy: -3.7846 eV/atom
Polymorph energy (0 for the lowest one): 0.00 eV/f.u.
DOS at the Fermi energy: 0.544 states/eV/atom



The following is a DFT calculation (GGA-PBE) of an optimized crystal structure of Na4Zn2Sn5.

a b c (Å): 7.889 3.240 10.693
angles (deg): 90.00 93.12 90.00
Space group P2/m (No. 10)
Symmetry-distinct sites (fractional):
Na: 0.154 0.000 0.396 x2
Na: 0.292 0.000 0.947 x2
Zn: 0.049 0.500 0.124 x2
Sn: 0.198 0.500 0.685 x2
Sn: 0.406 0.500 0.207 x2
Sn: 0.500 0.500 0.500 x1

Total magnetic moment: 0.0 μB/f.u.
Crystal system: monoclinic
E_form: -8 kJ/mol of atoms
Total energy: -2.6186 eV/atom
DOS at the Fermi energy: 0.493 states/eV/atom



The following is a DFT calculation (GGA-PBE) of an optimized crystal structure of BaBeTe4.

a b c (Å): 9.220 9.220 9.220
angles (deg): 90.00 90.00 90.00
Space group F-43m (No. 216)
Symmetry-distinct sites (fractional):
Ba: 0.000 0.000 0.000 x4
Be: 0.250 0.250 0.750 x4
Te: 0.124 0.124 0.376 x16

Total magnetic moment: 0.0 μB/f.u.
Crystal system: cubic
Total energy: -2.9617 eV/atom
Uncorrected formation energy: 0.07 eV/atom
DOS at the Fermi energy: 0.145 states/eV/atom



The following is a DFT calculation (GGA-PBE) of an optimized crystal structure of Ac6AlCu2.

a b c (Å): 10.134 10.948 11.222
angles (deg): 90.00 90.00 90.00
Space group Immm (No. 71)
Symmetry-distinct sites (fractional):
Ac: 0.000 0.187 0.238 x8
Ac: 0.191 0.500 0.171 x8
Ac: 0.218 0.321 0.500 x8
Al: 0.000 0.000 0.000 x2
Al: 0.000 0.000 0.500 x2
Cu: 0.000 0.337 0.000 x4
Cu: 0.000 0.500 0.385 x4

Total magnetic moment: 0.0 μB/f.u.
Crystal system: orthorhombic
E_form: -8 kJ/mol of atoms
Total energy: -4.1531 eV/atom
DOS at the Fermi energy: 1.100 states/eV/atom



The following is a DFT calculation (GGA-PBE) of an optimized crystal structure of LiAc3Zn2Ag6.

a b c (Å): 6.4708 6.4708 8.4275
angles (deg): 90.00 90.00 120.00
Space group P-3m1 (No. 164)
Symmetry-distinct sites (fractional):
Li: 0.0000 0.0000 0.0000 x1
Ac: 0.0000 0.0000 0.5000 x1
Ac: 0.3333 0.6667 0.2295 x2
Zn: 0.3333 0.6667 0.6015 x2
Ag: 0.1851 0.3703 0.8544 x6

Total magnetic moment: 0.0 μB/f.u.
Crystal system: trigonal
E_form: -8 kJ/mol of atoms
Total energy: -2.9099 eV/atom
DOS at the Fermi energy: 0.717 states/eV/atom



The following is a DFT calculation (GGA-PBE) of an optimized crystal structure of Cr2InPN.

a b c (Å): 3.948 3.948 4.613
angles (deg): 90.00 90.00 90.00
Space group P4/mmm (No. 123)
Symmetry-distinct sites (fractional):
Cr: 0.000 0.500 0.000 x2
In: 0.000 0.000 0.500 x1
P: 0.500 0.500 0.500 x1
N: 0.500 0.500 0.000 x1

Total magnetic moment: 5.1 μB/f.u.
Crystal system: tetragonal
Total energy: -6.8183 eV/atom
Uncorrected formation energy: 0.33 eV/atom
DOS at the Fermi energy: 0.660 states/eV/atom



The following is a DFT calculation (GGA-PBE) of an optimized crystal structure of BaHg2Se3.

a b c (Å): 4.886 7.922 11.340
angles (deg): 96.78 102.36 90.13
Space group P-1 (No. 2)
Symmetry-distinct sites (fractional):
Ba: 0.161 0.036 0.320 x2
Hg: 0.172 0.535 0.344 x2
Hg: 0.452 0.807 0.909 x2
Se: 0.072 0.362 0.139 x2
Se: 0.262 0.753 0.526 x2
Se: 0.421 0.126 0.843 x2

Total magnetic moment: 0.0 μB/f.u.
Crystal system: triclinic
Total energy: -2.8948 eV/atom
Uncorrected formation energy: -0.73 eV/atom